# Tb5PmTl4 (PBE, optimized geometry)
# - magnetization (μB per formula unit) = 0.138
# - theoretical density (g cm⁻³) = 10.121
# - crystal system = tetragonal
# - VASP energy (eV/cell) = -40.2
# - formation energy from the elements (eV per atom) = -0.2808
data_Tb5PmTl4
_chemical_formula_sum 'Tb5 Pm1 Tl4'
_symmetry_space_group_name_H-M 'P 4/m m m'
_symmetry_Int_Tables_number 123
_symmetry_space_group_name_Hall '-P 4 2'
_cell_length_a 3.620
_cell_length_b 3.620
_cell_length_c 21.995
_cell_angle_alpha 90.00
_cell_angle_beta 90.00
_cell_angle_gamma 90.00
loop_
_atom_site_label
_atom_site_type_symbol
_atom_site_fract_x
_atom_site_fract_y
_atom_site_fract_z
_atom_site_occupancy
Tb1 Tb 0.000 0.000 0.000 1
Tb2 Tb 0.000 0.000 0.192 1
Tb3 Tb 0.000 0.000 0.384 1
Pm1 Pm 0.500 0.500 0.500 1
Tl1 Tl 0.500 0.500 0.096 1
Tl2 Tl 0.500 0.500 0.288 1